Entry 1:
ZnAu | OQMD via LeMat-Bulk | GGA-PBE | relaxed; space group = Pmc2_1, No. 26; final energy = -2.4406 eV per atom; crystal system = orthorhombic
1.0
4.598 0.000 0.000
0.000 8.552 0.000
0.000 0.000 4.999
Zn Au
6 6
direct
0.000 0.082 0.000
0.000 0.417 0.991
0.000 0.583 0.491
0.000 0.918 0.500
0.500 0.089 0.345
0.500 0.911 0.845
0.000 0.236 0.485
0.000 0.764 0.985
0.500 0.226 0.857
0.500 0.424 0.336
0.500 0.576 0.836
0.500 0.774 0.357

Entry 2:
Zn2Au7 | OQMD via LeMat-Bulk | GGA-PBE | relaxed; space group = P-3m1, No. 164; final energy = -2.7712 eV per atom; crystal system = trigonal
1.0
2.902 0.000 0.000
-1.451 2.513 0.000
0.000 0.000 29.761
Zn Au
2 7
direct
0.333 0.667 0.178
0.667 0.333 0.822
0.000 0.000 0.253
0.000 0.000 0.500
0.000 0.000 0.747
0.333 0.667 0.418
0.333 0.667 0.664
0.667 0.333 0.336
0.667 0.333 0.582

Entry 3:
ZnAu | OQMD via LeMat-Bulk | GGA-PBE | relaxed; space group = P-6m2, No. 187; final energy = -2.4252 eV per atom; crystal system = hexagonal
1.0
3.001 0.000 0.000
-1.500 2.599 0.000
0.000 0.000 4.250
Zn Au
1 1
direct
0.000 0.000 0.000
0.333 0.667 0.500

Entry 4:
ZnAu2 | OQMD via LeMat-Bulk | GGA-PBE | relaxed; space group = Fm-3m, No. 225; final energy = -2.6918 eV per atom; crystal system = cubic
1.0
0.000 3.060 3.060
3.060 0.000 3.060
3.060 3.060 0.000
Zn Au
1 2
direct
0.000 0.000 0.000
0.250 0.250 0.250
0.750 0.750 0.750

Entry 5:
ZnAu15 | OQMD via LeMat-Bulk | GGA-PBE | relaxed; space group = Pccm, No. 49; crystal system = orthorhombic; energy above the lowest structure with this stoichiometry = 0.0 meV per atom
1.0
8.313 0.000 0.000
0.000 47.043 0.000
0.000 0.000 4.116
Zn Au
4 60
direct
0.172 0.168 0.000
0.172 0.832 0.500
0.828 0.168 0.500
0.828 0.832 0.000
0.118 0.204 0.500
0.118 0.796 0.000
0.120 0.252 0.000
0.120 0.748 0.500
0.123 0.298 0.500
0.123 0.702 0.000
0.125 0.343 0.000
0.125 0.388 0.500
0.125 0.433 0.000
0.125 0.478 0.500
0.125 0.522 0.000
0.125 0.567 0.500
0.125 0.612 0.000
0.125 0.657 0.500
0.368 0.254 0.500
0.368 0.746 0.000
0.374 0.298 0.000
0.374 0.702 0.500
0.375 0.343 0.500
0.375 0.388 0.000
0.375 0.433 0.500
0.375 0.478 0.000
0.375 0.522 0.500
0.375 0.567 0.000
0.375 0.612 0.500
0.375 0.657 0.000
0.378 0.211 0.000
0.378 0.789 0.500
0.380 0.164 0.500
0.380 0.836 0.000
0.620 0.164 0.000
0.620 0.836 0.500
0.622 0.211 0.500
0.622 0.789 0.000
0.625 0.343 0.000
0.625 0.388 0.500
0.625 0.433 0.000
0.625 0.478 0.500
0.625 0.522 0.000
0.625 0.567 0.500
0.625 0.612 0.000
0.625 0.657 0.500
0.626 0.298 0.500
0.626 0.702 0.000
0.632 0.254 0.000
0.632 0.746 0.500
0.875 0.343 0.500
0.875 0.388 0.000
0.875 0.433 0.500
0.875 0.478 0.000
0.875 0.522 0.500
0.875 0.567 0.000
0.875 0.612 0.500
0.875 0.657 0.000
0.877 0.298 0.000
0.877 0.702 0.500
0.880 0.252 0.500
0.880 0.748 0.000
0.882 0.204 0.000
0.882 0.796 0.500

Entry 6:
ZnAu | OQMD via LeMat-Bulk | GGA-PBE | relaxed; space group = Pbcm, No. 57; final energy = -2.3907 eV per atom; crystal system = orthorhombic
1.0
5.897 0.000 0.000
0.000 14.624 0.000
0.000 0.000 4.613
Zn Au
12 12
direct
0.122 0.139 0.250
0.122 0.361 0.750
0.122 0.698 0.750
0.122 0.802 0.250
0.370 0.639 0.250
0.370 0.861 0.750
0.630 0.139 0.250
0.630 0.361 0.750
0.878 0.198 0.750
0.878 0.302 0.250
0.878 0.639 0.250
0.878 0.861 0.750
0.120 0.034 0.750
0.120 0.466 0.250
0.370 0.530 0.750
0.370 0.970 0.250
0.381 0.197 0.750
0.381 0.303 0.250
0.619 0.697 0.750
0.619 0.803 0.250
0.630 0.030 0.750
0.630 0.470 0.250
0.880 0.534 0.750
0.880 0.966 0.250

Entry 7:
ZnAu | OQMD via LeMat-Bulk | GGA-PBE | relaxed; space group = Pmm2, No. 25; final energy = -2.3994 eV per atom; crystal system = orthorhombic
1.0
4.568 0.000 0.000
0.000 5.854 0.000
0.000 0.000 4.928
Zn Au
4 4
direct
0.000 0.000 0.000
0.000 0.246 0.523
0.000 0.754 0.523
0.500 0.000 0.683
0.000 0.500 0.026
0.500 0.236 0.184
0.500 0.500 0.669
0.500 0.764 0.184

Entry 8:
Zn2Au9 | OQMD via LeMat-Bulk | GGA-PBE | relaxed; space group = P-3m1, No. 164; final energy = -2.8629 eV per atom; crystal system = trigonal
1.0
2.907 0.000 0.000
-1.453 2.517 0.000
0.000 0.000 39.024
Zn Au
2 9
direct
0.333 0.667 0.311
0.667 0.333 0.689
0.000 0.000 0.000
0.000 0.000 0.188
0.000 0.000 0.812
0.333 0.667 0.125
0.333 0.667 0.748
0.333 0.667 0.937
0.667 0.333 0.063
0.667 0.333 0.252
0.667 0.333 0.875

Entry 9:
ZnAu8 | OQMD via LeMat-Bulk | GGA-PBE | relaxed; space group = C2/m, No. 12; final energy = -2.9971 eV per atom; crystal system = monoclinic
1.0
4.519 -2.047 0.000
4.519 2.047 0.000
-0.107 0.000 31.996
Zn Au
2 16
direct
0.056 0.056 0.256
0.944 0.944 0.744
0.050 0.050 0.545
0.144 0.144 0.637
0.155 0.155 0.336
0.252 0.252 0.425
0.257 0.257 0.732
0.350 0.350 0.515
0.442 0.442 0.297
0.448 0.448 0.606
0.552 0.552 0.394
0.558 0.558 0.703
0.650 0.650 0.485
0.743 0.743 0.268
0.748 0.748 0.575
0.845 0.845 0.664
0.856 0.856 0.363
0.950 0.950 0.455

Entry 10:
ZnAu | OQMD via LeMat-Bulk | GGA-PBE | relaxed; space group = P2_1/m, No. 11; final energy = -2.4136 eV per atom; crystal system = monoclinic
1.0
6.029 0.000 0.000
0.000 4.587 0.000
-1.476 0.000 7.153
Zn Au
6 6
direct
0.027 0.250 0.105
0.139 0.750 0.557
0.362 0.250 0.450
0.638 0.750 0.550
0.861 0.250 0.443
0.973 0.750 0.895
0.179 0.250 0.763
0.300 0.750 0.238
0.470 0.750 0.877
0.530 0.250 0.123
0.700 0.250 0.762
0.821 0.750 0.237

Entry 11:
ZnAu | OQMD via LeMat-Bulk | GGA-PBE | relaxed; space group = Pmmn, No. 59; final energy = -2.4386 eV per atom; crystal system = orthorhombic
1.0
3.084 0.000 0.000
0.000 4.664 0.000
0.000 0.000 4.625
Zn Au
2 2
direct
0.250 0.250 0.096
0.750 0.750 0.904
0.250 0.750 0.384
0.750 0.250 0.616

Entry 12:
ZnAu | OQMD via LeMat-Bulk | GGA-PBE | relaxed; space group = Pmmn, No. 59; final energy = -2.3704 eV per atom; crystal system = orthorhombic
1.0
2.848 0.000 0.000
0.000 4.687 0.000
0.000 0.000 9.859
Zn Au
4 4
direct
0.250 0.250 0.031
0.250 0.750 0.204
0.750 0.250 0.796
0.750 0.750 0.969
0.250 0.250 0.553
0.250 0.750 0.731
0.750 0.250 0.269
0.750 0.750 0.447

Entry 13:
ZnAu | OQMD via LeMat-Bulk | GGA-PBE | relaxed; space group = P2_1/m, No. 11; final energy = -2.4047 eV per atom; crystal system = monoclinic
1.0
5.768 0.000 0.000
0.000 4.670 0.000
-1.410 0.000 7.338
Zn Au
6 6
direct
0.128 0.250 0.057
0.197 0.750 0.285
0.348 0.750 0.947
0.652 0.250 0.053
0.803 0.250 0.715
0.872 0.750 0.943
0.026 0.750 0.618
0.316 0.250 0.758
0.463 0.250 0.377
0.537 0.750 0.623
0.684 0.750 0.242
0.974 0.250 0.382

Entry 14:
ZnAu | OQMD via LeMat-Bulk | GGA-PBE | relaxed; space group = Pm-3m, No. 221; final energy = -2.4819 eV per atom; crystal system = cubic
1.0
3.185 0.000 0.000
0.000 3.185 0.000
0.000 0.000 3.185
Zn Au
1 1
direct
0.000 0.000 0.000
0.500 0.500 0.500

Entry 15:
Zn2Au9 | OQMD via LeMat-Bulk | GGA-PBE | relaxed; space group = P-3m1, No. 164; final energy = -2.8627 eV per atom; crystal system = trigonal
1.0
2.902 0.000 0.000
-1.451 2.514 0.000
0.000 0.000 33.991
Zn Au
2 9
direct
0.333 0.667 0.357
0.667 0.333 0.643
0.000 0.000 0.000
0.000 0.000 0.216
0.000 0.000 0.784
0.333 0.667 0.143
0.333 0.667 0.710
0.333 0.667 0.928
0.667 0.333 0.072
0.667 0.333 0.290
0.667 0.333 0.857

Entry 16:
ZnAu | OQMD via LeMat-Bulk | GGA-PBE | relaxed; space group = Fm-3m, No. 225; final energy = -2.3310 eV per atom; crystal system = cubic
1.0
0.000 2.645 2.645
2.645 0.000 2.645
2.645 2.645 0.000
Zn Au
1 1
direct
0.000 0.000 0.000
0.500 0.500 0.500

Entry 17:
ZnAu | OQMD via LeMat-Bulk | GGA-PBE | relaxed; space group = Pmmn, No. 59; final energy = -2.4059 eV per atom; crystal system = orthorhombic
1.0
4.624 0.000 0.000
0.000 11.386 0.000
0.000 0.000 5.000
Zn Au
8 8
direct
0.250 0.125 0.173
0.250 0.250 0.652
0.250 0.375 0.173
0.250 0.750 0.663
0.750 0.250 0.337
0.750 0.625 0.827
0.750 0.750 0.348
0.750 0.875 0.827
0.250 0.000 0.675
0.250 0.500 0.675
0.250 0.629 0.161
0.250 0.871 0.161
0.750 0.000 0.325
0.750 0.129 0.839
0.750 0.371 0.839
0.750 0.500 0.325

Entry 18:
ZnAu15 | OQMD via LeMat-Bulk | GGA-PBE | relaxed; space group = Pmma, No. 51; crystal system = orthorhombic; energy above the lowest structure with this stoichiometry = 0.7 meV per atom
1.0
4.104 0.000 0.000
0.000 4.105 0.000
0.000 0.000 47.551
Zn Au
2 30
direct
0.250 0.000 0.167
0.750 0.000 0.833
0.250 0.000 0.254
0.250 0.000 0.343
0.250 0.000 0.433
0.250 0.000 0.522
0.250 0.000 0.612
0.250 0.000 0.702
0.250 0.000 0.792
0.250 0.500 0.208
0.250 0.500 0.298
0.250 0.500 0.388
0.250 0.500 0.478
0.250 0.500 0.567
0.250 0.500 0.657
0.250 0.500 0.747
0.250 0.500 0.835
0.750 0.000 0.208
0.750 0.000 0.298
0.750 0.000 0.388
0.750 0.000 0.478
0.750 0.000 0.567
0.750 0.000 0.657
0.750 0.000 0.746
0.750 0.500 0.165
0.750 0.500 0.253
0.750 0.500 0.343
0.750 0.500 0.433
0.750 0.500 0.522
0.750 0.500 0.612
0.750 0.500 0.702
0.750 0.500 0.792

Entry 19:
Zr2ZnAu | OQMD via LeMat-Bulk | GGA-PBE | relaxed; space group = F-43m, No. 216; final energy = -5.4433 eV per atom; crystal system = cubic
1.0
0.000 3.400 3.400
3.400 0.000 3.400
3.400 3.400 0.000
Zr Zn Au
2 1 1
direct
0.000 0.000 0.000
0.250 0.250 0.250
0.500 0.500 0.500
0.750 0.750 0.750